Compound: FeRuO3
Source: Alexandria
Functional: PBE with a Hubbard U
Structure: relaxed

Cell: 3.829 3.829 3.829 Å, 90.00 90.00 90.00°
Sites, in units of the cell vectors:
Fe  0.000  0.000  0.000
Ru  0.500  0.500  0.500
O  0.000  0.500  0.500
O  0.500  0.000  0.500
O  0.500  0.500  0.000

Summary:
As for the symmetry: Pm-3m (221). For the electronic total energy, the calculation gives -6.38 eV per atom.